No. 1
RbScHgS3 after structural relaxation. Source: OQMD, functional PBE.

Its crystal system is monoclinic.

a b c (Å): 8.229 3.961 10.478
angles (deg): 90.00 110.67 90.00
Space group P2_1/m (No. 11)
Unique sites:
Rb1 0.244 0.250 0.226 [2 per cell]
Sc1 0.171 0.750 0.621 [2 per cell]
Hg1 0.401 0.250 0.877 [2 per cell]
S1 0.035 0.750 0.371 [2 per cell]
S2 0.247 0.750 0.941 [2 per cell]
S3 0.392 0.250 0.637 [2 per cell]

=====

No. 2
RbScHgS3 after structural relaxation. Source: OQMD, functional PBE.

Its crystal system is monoclinic.

a b c (Å): 17.817 3.862 8.862
angles (deg): 90.00 100.74 90.00
Space group C2/m (No. 12)
Unique sites:
Rb1 0.148 0.000 0.069 [4 per cell]
Sc1 0.178 0.000 0.576 [4 per cell]
Hg1 0.019 0.500 0.724 [4 per cell]
S1 0.000 0.000 0.500 [2 per cell]
S2 0.000 0.500 0.000 [2 per cell]
S3 0.169 0.500 0.766 [4 per cell]
S4 0.177 0.500 0.380 [4 per cell]

=====

no.,E_tot (eV per formula unit),volume (Å³ per cell),total magnetic moment (μB/f.u.)
1,-26.76,319.6,0.00
2,-26.55,599.1,0.00